Material: FeBi2PdO6
Method: DFT, PBE with a Hubbard U
State: relaxed

The total moment is 3.993 μB per formula unit. The density is 8.75 g/cm³. Its crystal system is monoclinic. Its total energy is -5.860 eV per atom.

It has space group P2_1/c (No. 14), with a = 5.489 Å, b = 6.016 Å, c = 9.452 Å, α = 90.00°, β = 124.71° and γ = 90.00°. Symmetry generates all atoms from Fe at (0.000, 0.000, 0.000), Bi at (0.274, 0.066, 0.761), Pd at (0.500, 0.000, 0.500), O at (0.140, 0.041, 0.249), O at (0.251, 0.706, 0.059) and O at (0.346, 0.168, 0.037).